# Tb4TmSc3Se8, optimized geometry, DFT GGA-PBE
data_Tb4TmSc3Se8
_chemical_formula_sum 'Tb12 Tm3 Sc9 Se24'
_cell_length_a 7.9907
_cell_length_b 7.9907
_cell_length_c 19.7355
_cell_angle_alpha 90.00
_cell_angle_beta 90.00
_cell_angle_gamma 120.00
_space_group_name_H-M_alt 'R -3 m'
_space_group_IT_number 166
_space_group_name_Hall '-R 3 2"'
loop_
_atom_site_label
_atom_site_type_symbol
_atom_site_fract_x
_atom_site_fract_y
_atom_site_fract_z
Tb1 Tb 0.0000 0.0000 0.0000
Tb2 Tb 0.0000 0.5000 0.0000
Tm1 Tm 0.0000 0.0000 0.5000
Sc1 Sc 0.0000 0.5000 0.5000
Se1 Se 0.0000 0.0000 0.2442
Se2 Se 0.0045 0.5023 0.7547
# Calculated volume (Å³/cell): 1091.4
# Electronic total energy (eV per atom): -6.0474
# Formation energy (no corrections) (meV/atom): -1681.0
# Magnetic moment (Bohr magnetons per cell): 0.000

# HfCr2Ni2, optimized geometry, DFT GGA-PBE
data_HfCr2Ni2
_chemical_formula_sum 'Hf2 Cr4 Ni4'
_cell_length_a 3.356
_cell_length_b 3.356
_cell_length_c 12.114
_cell_angle_alpha 90.00
_cell_angle_beta 90.00
_cell_angle_gamma 90.00
_space_group_name_H-M_alt 'I 4/m m m'
_space_group_IT_number 139
_space_group_name_Hall '-I 4 2'
loop_
_atom_site_label
_atom_site_type_symbol
_atom_site_fract_x
_atom_site_fract_y
_atom_site_fract_z
Hf1 Hf 0.000 0.000 0.000
Cr1 Cr 0.000 0.500 0.250
Ni1 Ni 0.000 0.000 0.402
# Calculated volume (Å³/cell): 136.4
# E above lowest polymorph (eV/atom): 0.000
# Electronic total energy (eV per atom): -8.1272
# Magnetic moment (Bohr magnetons per cell): 0.000
# Formation energy (meV/atom): 25

# LiPdI2, optimized geometry, DFT GGA-PBE
data_LiPdI2
_chemical_formula_sum 'Li4 Pd4 I8'
_cell_length_a 7.364
_cell_length_b 7.364
_cell_length_c 7.364
_cell_angle_alpha 90.00
_cell_angle_beta 90.00
_cell_angle_gamma 90.00
_space_group_name_H-M_alt 'F m -3 m'
_space_group_IT_number 225
_space_group_name_Hall '-F 4 2 3'
loop_
_atom_site_label
_atom_site_type_symbol
_atom_site_fract_x
_atom_site_fract_y
_atom_site_fract_z
Li1 Li 0.000 0.000 0.000
Pd1 Pd 0.000 0.000 0.500
I1 I 0.250 0.250 0.250
# Calculated volume (Å³/cell): 399.4
# E above lowest polymorph (eV/atom): 0.324
# Electronic total energy (eV per atom): -2.7178
# Formation energy (no corrections) (meV/atom): -166.0
# Magnetic moment (Bohr magnetons per cell): 0.000

# ScH2Pd, optimized geometry, DFT GGA-PBE
data_ScH2Pd
_chemical_formula_sum 'Sc4 H8 Pd4'
_cell_length_a 6.477
_cell_length_b 5.788
_cell_length_c 4.625
_cell_angle_alpha 90.00
_cell_angle_beta 90.00
_cell_angle_gamma 90.00
_space_group_name_H-M_alt 'P n a 21'
_space_group_IT_number 33
_space_group_name_Hall 'P 2c -2n'
loop_
_atom_site_label
_atom_site_type_symbol
_atom_site_fract_x
_atom_site_fract_y
_atom_site_fract_z
Sc1 Sc 0.156 0.131 0.000
H1 H 0.045 0.624 0.626
H2 H 0.129 0.105 0.512
Pd1 Pd 0.057 0.654 0.008
# Calculated volume (Å³/cell): 173.4
# E above lowest polymorph (eV/atom): 0.003
# Electronic total energy (eV per atom): -5.0265
# Magnetic moment (Bohr magnetons per cell): 0.000

# PuTeI, optimized geometry, DFT GGA-PBE
data_PuTeI
_chemical_formula_sum 'Pu2 Te2 I2'
_cell_length_a 4.443
_cell_length_b 6.130
_cell_length_c 9.517
_cell_angle_alpha 90.00
_cell_angle_beta 90.00
_cell_angle_gamma 90.00
_space_group_name_H-M_alt 'P m m n'
_space_group_IT_number 59
loop_
_space_group_symop_operation_xyz
'x,y,z'
'-x,-y,-z'
'-x+1/2,-y+1/2,z'
'x+1/2,y+1/2,-z'
'x+1/2,-y,-z'
'-x+1/2,y,z'
'-x,y+1/2,-z'
'x,-y+1/2,z'
loop_
_atom_site_label
_atom_site_type_symbol
_atom_site_fract_x
_atom_site_fract_y
_atom_site_fract_z
Pu1 Pu 0.250 0.250 0.134
Te1 Te 0.250 0.750 0.097
I1 I 0.250 0.750 0.640
# Calculated volume (Å³/cell): 259.2
# E above lowest polymorph (eV/atom): 0.000
# Electronic total energy (eV per atom): -7.3854
# Formation energy (no corrections) (meV/atom): -1044.1
# Magnetic moment (Bohr magnetons per cell): 10.000

# ReBW3, optimized geometry, DFT GGA-PBE
data_ReBW3
_chemical_formula_sum 'Re1 B1 W3'
_cell_length_a 4.749
_cell_length_b 4.749
_cell_length_c 4.749
_cell_angle_alpha 90.00
_cell_angle_beta 90.00
_cell_angle_gamma 90.00
_space_group_name_H-M_alt 'P m -3 m'
_space_group_IT_number 221
_space_group_name_Hall '-P 4 2 3'
loop_
_atom_site_label
_atom_site_type_symbol
_atom_site_fract_x
_atom_site_fract_y
_atom_site_fract_z
Re1 Re 0.000 0.000 0.000
B1 B 0.500 0.500 0.500
W1 W 0.000 0.000 0.500
# Calculated volume (Å³/cell): 107.1
# E above lowest polymorph (eV/atom): 2.904
# Electronic total energy (eV per atom): -8.6950
# Magnetic moment (Bohr magnetons per cell): 0.000
# Formation energy (meV/atom): 2902

Question: Among the records above, which one has the highest magnetic moment?
Answer: PuTeI

Question: What is the formula in the sixth record?
Answer: ReBW3